1.
Crystalline Mg2BeTe at its relaxed geometry, computed with PBE-GGA.

Relative energy among the computed polymorphs   303 meV per atom
Uncorrected formation energy   0.32 eV per atom
Symmetry   No. 225

Cell lengths 4.9418, 4.9418, 4.9418 Å; angles 60.00, 60.00, 60.00 degrees
Last column: nearest neighbours and their distance in Å.
Atoms (fractional coordinates):
Mg (0.2500, 0.2500, 0.2500)  4 Be 3.03, 4 Te 3.03
Mg (0.7500, 0.7500, 0.7500)  4 Be 3.03, 4 Te 3.03
Te (0.5000, 0.5000, 0.5000)  8 Mg 3.03
Be (0.0000, 0.0000, 0.0000)  8 Mg 3.03

2.
Crystalline Tl3AgPb12 at its relaxed geometry, computed with PBE-GGA.

Energy of formation   0.50 kcal/mol of atoms
Symmetry   No. 123

Cell lengths 4.8864, 4.8864, 20.3337 Å; angles 90.00, 90.00, 90.00 degrees
Last column: nearest neighbours and their distance in Å.
Atoms (fractional coordinates):
Pb (0.5000, 0.5000, 0.2444)  4 Tl 3.46, 8 Pb 3.56-3.58
Pb (0.5000, 0.5000, 0.5000)  4 Tl 3.46, 8 Pb 3.57
Pb (0.5000, 0.0000, 0.1155)  8 Pb 3.39-3.58, 2 Ag 3.39, 2 Tl 3.59
Pb (0.0000, 0.5000, 0.3718)  8 Pb 3.46-3.57, 4 Tl 3.55-3.57
Pb (0.0000, 0.5000, 0.8845)  2 Ag 3.39, 8 Pb 3.39-3.58, 2 Tl 3.59
Pb (0.5000, 0.0000, 0.3718)  8 Pb 3.46-3.57, 4 Tl 3.55-3.57
Pb (0.5000, 0.0000, 0.8845)  8 Pb 3.39-3.58, 2 Ag 3.39, 2 Tl 3.59
Pb (0.5000, 0.5000, 0.7556)  4 Tl 3.46, 8 Pb 3.56-3.58
Pb (0.0000, 0.5000, 0.1155)  2 Ag 3.39, 8 Pb 3.39-3.58, 2 Tl 3.59
Pb (0.5000, 0.5000, 0.0000)  8 Pb 3.39, 4 Ag 3.46
Pb (0.0000, 0.5000, 0.6282)  8 Pb 3.46-3.57, 4 Tl 3.55-3.57
Pb (0.5000, 0.0000, 0.6282)  8 Pb 3.46-3.57, 4 Tl 3.55-3.57
Tl (0.0000, 0.0000, 0.2448)  12 Pb 3.46-3.59
Tl (0.0000, 0.0000, 0.7552)  12 Pb 3.46-3.59
Tl (0.0000, 0.0000, 0.5000)  12 Pb 3.46-3.57
Ag (0.0000, 0.0000, 0.0000)  12 Pb 3.39-3.46

3.
Crystalline TbDyYEr at its relaxed geometry, computed with PBE-GGA.

Relative energy among the computed polymorphs   0 meV per atom
Energy of formation   0.51 kcal/mol of atoms
Symmetry   No. 119

Cell lengths 5.0139, 5.0142, 6.1397 Å; angles 114.10, 114.10, 90.00 degrees
Last column: nearest neighbours and their distance in Å.
Atoms (fractional coordinates):
Tb (0.1198, 0.1198, 0.2396)  4 Dy 3.54-3.55, 4 Y 3.54-3.55, 4 Er 3.55
Y (0.3699, 0.8699, 0.7398)  4 Er 3.54-3.55, 4 Tb 3.54-3.55, 4 Dy 3.55
Er (0.6197, 0.6197, 0.2395)  4 Y 3.54-3.55, 4 Dy 3.54-3.55, 4 Tb 3.55
Dy (0.8697, 0.3697, 0.7394)  4 Tb 3.54-3.55, 4 Er 3.54-3.55, 4 Y 3.55

4.
Crystalline NpNbO6 at its relaxed geometry, computed with PBE-GGA.

Relative energy among the computed polymorphs   0 meV per atom
Uncorrected formation energy   -2.45 eV per atom
Symmetry   No. 148

Cell lengths 5.6468, 5.6466, 5.6704 Å; angles 60.14, 60.13, 60.00 degrees
Last column: nearest neighbours and their distance in Å.
Atoms (fractional coordinates):
O (0.2850, 0.7489, 0.7490)  1 Nb 2.00, 1 Np 2.02
O (0.2171, 0.2850, 0.7490)  1 Nb 2.00, 1 Np 2.02
O (0.7829, 0.7150, 0.2510)  1 Nb 2.00, 1 Np 2.02
O (0.7489, 0.2171, 0.7491)  1 Nb 2.00, 1 Np 2.02
O (0.7150, 0.2511, 0.2510)  1 Nb 2.00, 1 Np 2.02
O (0.2511, 0.7829, 0.2509)  1 Nb 2.00, 1 Np 2.02
Np (0.0000, 0.0000, 0.0000)  6 O 2.02
Nb (0.5000, 0.5000, 0.5000)  6 O 2.00

5.
Crystalline AcCuSb at its relaxed geometry, computed with PBE-GGA.

Relative energy among the computed polymorphs   129 meV per atom
Uncorrected formation energy   -0.60 eV per atom
Symmetry   No. 2

Cell lengths 4.3458, 6.7669, 5.8836 Å; angles 78.97, 90.06, 71.26 degrees
Last column: nearest neighbours and their distance in Å.
Atoms (fractional coordinates):
Cu (0.7694, 0.9608, 0.6485)  3 Sb 2.66-2.68, 2 Cu 2.77
Cu (0.2306, 0.0392, 0.3515)  3 Sb 2.66-2.68, 2 Cu 2.77
Sb (0.6082, 0.2838, 0.2796)  3 Cu 2.66-2.68
Sb (0.3918, 0.7162, 0.7204)  3 Cu 2.66-2.68
Ac (0.1186, 0.2627, 0.8041)  4 Cu 3.17-3.27
Ac (0.8814, 0.7373, 0.1959)  4 Cu 3.17-3.27

6.
Crystalline KIn2Bi2 at its relaxed geometry, computed with PBE-GGA.

Relative energy among the computed polymorphs   80 meV per atom
Energy of formation   -2.67 kcal/mol of atoms
Symmetry   No. 127

Cell lengths 9.1366, 9.1366, 3.9052 Å; angles 90.00, 90.00, 90.00 degrees
Last column: nearest neighbours and their distance in Å.
Atoms (fractional coordinates):
Bi (0.6617, 0.8383, 0.5000)  6 In 3.32
Bi (0.8383, 0.3383, 0.5000)  6 In 3.32
Bi (0.3383, 0.1617, 0.5000)  6 In 3.32
Bi (0.1617, 0.6617, 0.5000)  6 In 3.32
In (0.8698, 0.6302, 0.0000)  6 Bi 3.32, 1 In 3.37, 2 K 3.58
In (0.3698, 0.8698, 0.0000)  6 Bi 3.32, 1 In 3.37, 2 K 3.58
In (0.6302, 0.1302, 0.0000)  6 Bi 3.32, 1 In 3.37, 2 K 3.58
In (0.1302, 0.3698, 0.0000)  6 Bi 3.32, 1 In 3.37, 2 K 3.58
K (0.0000, 0.0000, 0.0000)  4 In 3.58, 2 K 3.91, 8 Bi 3.94
K (0.5000, 0.5000, 0.0000)  4 In 3.58, 2 K 3.91, 8 Bi 3.94

7.
Crystalline MoPS3 at its relaxed geometry, computed with PBE-GGA.

Relative energy among the computed polymorphs   0 meV per atom
Uncorrected formation energy   -0.22 eV per atom
Symmetry   No. 62

Cell lengths 3.0997, 12.9017, 10.5552 Å; angles 90.00, 90.00, 90.00 degrees
Last column: nearest neighbours and their distance in Å.
Atoms (fractional coordinates):
Mo (0.2500, 0.6206, 0.4069)  6 S 2.40-2.57, 2 P 2.60
Mo (0.7500, 0.1206, 0.0931)  6 S 2.40-2.57, 2 P 2.60
Mo (0.2500, 0.8794, 0.9069)  6 S 2.40-2.57, 2 P 2.60
Mo (0.7500, 0.3794, 0.5931)  6 S 2.40-2.57, 2 P 2.60
P (0.7500, 0.7214, 0.8632)  2 S 2.22
P (0.2500, 0.2214, 0.6368)  2 S 2.22
P (0.7500, 0.7786, 0.3632)  2 S 2.22
P (0.2500, 0.2786, 0.1368)  2 S 2.22
S (0.7500, 0.5617, 0.2488)  2 Mo 2.40
S (0.2500, 0.0617, 0.2512)  2 Mo 2.40
S (0.7500, 0.2992, 0.9877)  2 P 2.22
S (0.2500, 0.0781, 0.9214)  3 Mo 2.45-2.57
S (0.7500, 0.9219, 0.0786)  3 Mo 2.45-2.57
S (0.2500, 0.7008, 0.0123)  2 P 2.22
S (0.2500, 0.4383, 0.7512)  2 Mo 2.40
S (0.7500, 0.5781, 0.5786)  3 Mo 2.45-2.57
S (0.7500, 0.9383, 0.7488)  2 Mo 2.40
S (0.2500, 0.7992, 0.5123)  2 P 2.22
S (0.7500, 0.2008, 0.4877)  2 P 2.22
S (0.2500, 0.4219, 0.4214)  3 Mo 2.45-2.57

8.
Crystalline LiCoP2 at its relaxed geometry, computed with PBE-GGA.

Relative energy among the computed polymorphs   283 meV per atom
Energy of formation   -2.58 kcal/mol of atoms
Symmetry   No. 65

Cell lengths 4.2446, 4.2446, 2.7077 Å; angles 89.98, 89.98, 107.86 degrees
Last column: nearest neighbours and their distance in Å.
Atoms (fractional coordinates):
P (0.5000, 0.5000, 0.0000)  4 P 2.50-2.71, 4 Li 2.52, 4 Co 2.52
P (0.0000, 0.0000, 0.0000)  4 P 2.50-2.71, 4 Co 2.52, 4 Li 2.52
Co (0.5000, 0.0000, 0.5000)  2 Li 2.50, 8 P 2.52, 2 Co 2.71
Li (0.0000, 0.5000, 0.5000)  2 Co 2.50, 8 P 2.52, 2 Li 2.71

9.
Crystalline MgMo2Ru at its relaxed geometry, computed with PBE-GGA.

Energy of formation   4.38 kcal/mol of atoms
Symmetry   No. 44

Cell lengths 5.2143, 5.2143, 5.2143 Å; angles 145.32, 127.61, 64.37 degrees
Last column: nearest neighbours and their distance in Å.
Atoms (fractional coordinates):
Mo (0.9817, 0.9817, 0.0000)  2 Mo 2.55, 4 Ru 2.79
Mo (0.7522, 0.2522, 0.5000)  2 Mo 2.55, 2 Ru 2.63, 4 Mg 2.78
Mg (0.2545, 0.7545, 0.5000)  2 Ru 2.75, 8 Mo 2.78-3.05
Ru (0.5117, 0.5117, 0.0000)  6 Mo 2.63-2.79, 2 Mg 2.75

10.
Crystalline AlTlCo2Ag at its relaxed geometry, computed with PBE-GGA.

Energy of formation   22.49 kcal/mol of atoms
Symmetry   No. 123

Cell lengths 4.4045, 5.1798, 4.4045 Å; angles 90.00, 90.00, 90.00 degrees
Last column: nearest neighbours and their distance in Å.
Atoms (fractional coordinates):
Ag (0.5000, 0.5000, 0.5000)  4 Tl 3.11, 8 Co 3.40
Al (0.0000, 0.0000, 0.0000)  4 Co 2.20
Tl (0.0000, 0.5000, 0.0000)  2 Al 2.59
Co (0.0000, 0.0000, 0.5000)  2 Al 2.20
Co (0.5000, 0.0000, 0.0000)  2 Al 2.20

11.
Crystalline Tl2GaSbS4 at its relaxed geometry, computed with PBE-GGA.

Uncorrected formation energy   -0.40 eV per atom
Symmetry   No. 31

Cell lengths 6.1649, 8.5639, 9.0710 Å; angles 90.00, 90.00, 90.00 degrees
Last column: nearest neighbours and their distance in Å.
Atoms (fractional coordinates):
S (0.8839, 0.8373, 0.0000)  1 Ga 2.35, 1 Sb 2.53
S (0.8812, 0.9223, 0.5000)  1 Ga 2.36, 1 Sb 2.43
S (0.4266, 0.7544, 0.7037)  1 Ga 2.28
S (0.3839, 0.1627, 0.5000)  1 Ga 2.35, 1 Sb 2.53
S (0.3812, 0.0777, 0.0000)  1 Ga 2.36, 1 Sb 2.43
S (0.9266, 0.2456, 0.7963)  1 Ga 2.28
S (0.9266, 0.2456, 0.2037)  1 Ga 2.28
S (0.4266, 0.7544, 0.2963)  1 Ga 2.28
Tl (0.4525, 0.3474, 0.7855)  4 S 3.05-3.36
Tl (0.9525, 0.6526, 0.7145)  4 S 3.05-3.36
Tl (0.4525, 0.3474, 0.2145)  4 S 3.05-3.36
Tl (0.9525, 0.6526, 0.2855)  4 S 3.05-3.36
Sb (0.9766, 0.1976, 0.5000)  2 S 2.43-2.53
Sb (0.4766, 0.8024, 0.0000)  2 S 2.43-2.53
Ga (0.0000, 0.0991, 0.0000)  4 S 2.28-2.36
Ga (0.5000, 0.9009, 0.5000)  4 S 2.28-2.36

12.
Crystalline HgPt3Br at its relaxed geometry, computed with PBE-GGA.

Relative energy among the computed polymorphs   0 meV per atom
Uncorrected formation energy   1.08 eV per atom
Symmetry   No. 221

Cell lengths 4.7910, 4.7910, 4.7910 Å; angles 90.00, 90.00, 90.00 degrees
Last column: nearest neighbours and their distance in Å.
Atoms (fractional coordinates):
Br (0.0000, 0.0000, 0.0000)  6 Pt 2.40
Pt (0.0000, 0.0000, 0.5000)  2 Br 2.40
Pt (0.0000, 0.5000, 0.0000)  2 Br 2.40
Pt (0.5000, 0.0000, 0.0000)  2 Br 2.40
Hg (0.5000, 0.5000, 0.5000)  12 Pt 3.39

13.
Crystalline TbTcNi at its relaxed geometry, computed with PBE-GGA.

Energy of formation   -5.22 kcal/mol of atoms
Symmetry   No. 166

Cell lengths 5.2290, 5.2290, 13.4559 Å; angles 78.80, 78.80, 60.00 degrees
Last column: nearest neighbours and their distance in Å.
Atoms (fractional coordinates):
Tb (0.0439, 0.0439, 0.8684)  9 Tc 3.08-3.13, 3 Ni 3.12, 4 Tb 3.22-3.45
Tb (0.7389, 0.7389, 0.7834)  6 Tc 3.06-3.22, 6 Ni 3.07, 4 Tb 3.20-3.22
Tb (0.8201, 0.8201, 0.5397)  9 Ni 3.04-3.06, 3 Tc 3.06, 4 Tb 3.19-3.20
Tb (0.1799, 0.1799, 0.4603)  9 Ni 3.04-3.06, 3 Tc 3.06, 4 Tb 3.19-3.20
Tb (0.2611, 0.2611, 0.2166)  6 Tc 3.06-3.22, 6 Ni 3.07, 4 Tb 3.20-3.22
Tb (0.9561, 0.9561, 0.1316)  9 Tc 3.08-3.13, 3 Ni 3.12, 4 Tb 3.22-3.45
Ni (0.2815, 0.7764, 0.6607)  2 Tc 2.58, 4 Ni 2.59-2.64
Ni (0.7764, 0.2815, 0.6607)  2 Tc 2.58, 4 Ni 2.59-2.64
Ni (0.2236, 0.7185, 0.3393)  2 Tc 2.58, 4 Ni 2.59-2.64
Ni (0.2815, 0.2815, 0.6607)  2 Tc 2.58, 4 Ni 2.59-2.64
Ni (0.7185, 0.2236, 0.3393)  2 Tc 2.58, 4 Ni 2.59-2.64
Ni (0.7185, 0.7185, 0.3393)  2 Tc 2.58, 4 Ni 2.59-2.64
Tc (0.5000, 0.5000, 0.0000)  6 Tc 2.61-2.79
Tc (0.6069, 0.6069, 0.1794)  3 Ni 2.58, 3 Tc 2.79
Tc (0.3931, 0.3931, 0.8206)  3 Ni 2.58, 3 Tc 2.79
Tc (0.5000, 0.0000, 0.0000)  6 Tc 2.61-2.79
Tc (0.0000, 0.5000, 0.0000)  6 Tc 2.61-2.79
Tc (0.5000, 0.5000, 0.5000)  6 Ni 2.58

14.
Crystalline Ta3TlMo at its relaxed geometry, computed with PBE-GGA.

Relative energy among the computed polymorphs   1383 meV per atom
Energy of formation   62.85 kcal/mol of atoms
Symmetry   No. 221

Cell lengths 4.9850, 4.9850, 4.9850 Å; angles 90.00, 90.00, 90.00 degrees
Last column: nearest neighbours and their distance in Å.
Atoms (fractional coordinates):
Ta (0.0000, 0.0000, 0.5000)  2 Tl 2.49
Ta (0.5000, 0.0000, 0.0000)  2 Tl 2.49
Ta (0.0000, 0.5000, 0.0000)  2 Tl 2.49
Tl (0.0000, 0.0000, 0.0000)  6 Ta 2.49
Mo (0.5000, 0.5000, 0.5000)  12 Ta 3.52

15.
Crystalline Pr2HgTe at its relaxed geometry, computed with PBE-GGA.

Relative energy among the computed polymorphs   16 meV per atom
Uncorrected formation energy   -0.91 eV per atom
Symmetry   No. 59

Cell lengths 4.3627, 6.3803, 9.3682 Å; angles 90.00, 90.00, 90.00 degrees
Last column: nearest neighbours and their distance in Å.
Atoms (fractional coordinates):
Pr (0.0000, 0.0000, 0.8806)  4 Te 3.17-3.19, 2 Hg 3.25
Pr (0.5000, 0.5000, 0.6278)  2 Te 3.17, 4 Hg 3.19-3.21
Pr (0.0000, 0.0000, 0.3722)  2 Te 3.17, 4 Hg 3.19-3.21
Pr (0.5000, 0.5000, 0.1194)  4 Te 3.17-3.19, 2 Hg 3.25
Te (0.5000, 0.0000, 0.1265)  6 Pr 3.17-3.19
Te (0.0000, 0.5000, 0.8735)  6 Pr 3.17-3.19
Hg (0.0000, 0.5000, 0.3765)  6 Pr 3.19-3.25
Hg (0.5000, 0.0000, 0.6235)  6 Pr 3.19-3.25

16.
Crystalline Pr2NdPb at its relaxed geometry, computed with PBE-GGA.

Relative energy among the computed polymorphs   193 meV per atom
Energy of formation   -3.46 kcal/mol of atoms
Symmetry   No. 160

Cell lengths 3.7097, 3.7097, 11.6698 Å; angles 80.85, 80.85, 60.00 degrees
Last column: nearest neighbours and their distance in Å.
Atoms (fractional coordinates):
Pr (0.0795, 0.0795, 0.7616)  3 Pb 3.48, 3 Nd 3.69, 6 Pr 3.71
Pr (0.2541, 0.2541, 0.2378)  3 Pb 3.46, 3 Nd 3.69, 6 Pr 3.71
Pb (0.6663, 0.6663, 0.0010)  6 Pr 3.46-3.48, 6 Pb 3.71
Nd (0.5001, 0.5001, 0.4996)  6 Pr 3.69, 6 Nd 3.71